1.
The following is a GGA-PBE calculation of a relaxed structure of V4BC2, from Alexandria.

Lattice parameters (Å, degrees): 4.998 4.998 9.846 90.00 90.00 145.43
Element x y z (fractional)
V1 0.000 0.000 0.000
V2 0.000 0.000 0.500
V3 0.270 0.730 0.617
V4 0.270 0.730 0.883
V5 0.446 0.554 0.250
V6 0.554 0.446 0.750
V7 0.730 0.270 0.117
V8 0.730 0.270 0.383
B1 0.106 0.894 0.250
B2 0.894 0.106 0.750
C1 0.363 0.637 0.064
C2 0.363 0.637 0.436
C3 0.637 0.363 0.564
C4 0.637 0.363 0.936

2.
The following is a GGA-PBE calculation of a relaxed structure of B3WC, from Alexandria.

Lattice parameters (Å, degrees): 4.171 4.171 4.171 90.00 90.00 90.00
Element x y z (fractional)
B1 0.000 0.000 0.500
B2 0.000 0.500 0.000
B3 0.500 0.000 0.000
W1 0.000 0.000 0.000
C1 0.500 0.500 0.500

3.
The following is a GGA-PBE calculation of a relaxed structure of BW3C, from Alexandria.

Lattice parameters (Å, degrees): 4.066 4.066 4.066 90.00 90.00 90.00
Element x y z (fractional)
B1 0.000 0.000 0.000
W1 0.000 0.500 0.500
W2 0.500 0.000 0.500
W3 0.500 0.500 0.000
C1 0.500 0.500 0.500

What total moment values result from the calculations? In sequence: 0.0; 0.0; 0.0 Bohr magnetons per cell.
What energy relative to the elements values result from the calculations? In sequence: -0.56; 2.76; 0.90 eV per atom.
What distance to the lowest polymorph of the same formula values result from the calculations? In sequence: 0.000; 1.150; 0.000 eV/atom.